No. 1
## PrMgSe2 (GGA-PBE)

Data for a relaxed PrMgSe2 crystal.

extended XYZ file:
```
4
Lattice="-3.3319 -0.7233 -2.0708 -0.7885 -3.6938 -1.2832 -4.8079 -2.8228 4.8797" Properties=species:S:1:pos:R:3 pbc="T T T"
Mg 0.0000 0.0000 0.0000
Se -6.8075 -5.4737 1.3386
Se -2.1208 -1.7662 0.1872
Pr -4.4641 -3.6200 0.7629
```

Properties
Its total moment is 0.000 μB/atom. The value obtained for the polymorph energy (0 for the lowest one) is 11.6 meV per atom. The density of states at the Fermi level is 1.78 states/eV/cell. The energy relative to the elements, uncorrected is -563 kJ/mol of formula units.

=====

No. 2
## Pr2MgSe (GGA-PBE)

Data for a relaxed Pr2MgSe crystal.

extended XYZ file:
```
4
Lattice="3.9659 0.0000 0.0000 1.9830 3.4346 0.0000 1.9830 1.1449 10.4093" Properties=species:S:1:pos:R:3 pbc="T T T"
Mg 0.0000 0.0000 0.0000
Se 3.9659 2.2897 5.2046
Pr 1.9830 1.1449 7.0096
Pr 5.9489 3.4346 3.3996
```

Properties
Its total moment is 0.000 μB/atom. The value obtained for the polymorph energy (0 for the lowest one) is 267.6 meV per atom. The density of states at the Fermi level is 3.94 states/eV/cell. The energy relative to the elements, uncorrected is -205 kJ/mol of formula units.

=====

No. 3
## Pr2MgSe (GGA-PBE)

Data for a relaxed Pr2MgSe crystal.

extended XYZ file:
```
4
Lattice="3.8502 0.0000 0.0000 0.0000 3.8502 0.0000 0.0000 0.0000 7.3692" Properties=species:S:1:pos:R:3 pbc="T T T"
Mg 1.9251 1.9251 3.6846
Pr 0.0000 0.0000 5.6264
Pr 0.0000 0.0000 1.7428
Se 1.9251 1.9251 0.0000
```

Properties
Its total moment is 0.000 μB/atom. The value obtained for the polymorph energy (0 for the lowest one) is 27.3 meV per atom. The density of states at the Fermi level is 3.20 states/eV/cell. The energy relative to the elements, uncorrected is -298 kJ/mol of formula units.

=====

No. 4
## Pr3Mg5Se12 (GGA-PBE)

Data for a relaxed Pr3Mg5Se12 crystal.

extended XYZ file:
```
80
Lattice="-4.3415 -6.9362 11.5981 13.6272 3.6742 1.5079 -7.8810 11.6734 -1.7593" Properties=species:S:1:pos:R:3 pbc="T T T"
Se -0.3583 -1.4981 6.3835
Se 3.3076 0.0176 4.8190
Se -1.5673 5.4302 0.4281
Se -2.1710 9.1437 2.4356
Se 6.5755 0.2786 6.1984
Se -3.8715 -1.6359 6.9206
Se 4.9812 8.0894 1.5745
Se -1.2685 -1.9807 11.1935
Se 6.0720 3.9616 7.4717
Se 5.2762 10.0474 4.4261
Se 3.1486 12.4567 2.9034
Se -7.1890 10.2742 0.4925
Se 0.2888 2.5467 0.9686
Se -7.7184 1.3092 9.5403
Se -6.1382 6.3437 7.9617
Se -1.3684 5.4200 4.3523
Se 3.5757 -0.7322 8.9111
Se -3.7952 1.0311 4.3239
Se 1.7630 9.9096 4.9631
Se 4.3400 1.6051 1.9094
Se 6.5572 0.9143 10.4150
Se 2.3924 -2.4410 11.6917
Se -4.6464 3.0335 7.1374
Se 9.1231 7.1023 1.8064
Se 11.0087 4.2039 2.1166
Se -0.0988 0.6467 9.1010
Se -0.4668 1.9864 4.5710
Se 8.5937 -1.8627 10.8542
Se 5.1999 7.3803 7.0228
Se -5.1708 8.1329 5.1483
Se 1.1159 5.8648 10.3781
Se 7.5429 2.0677 3.3850
Se 2.6732 10.3922 0.1532
Se -0.9877 10.8525 -0.3450
Se -9.6040 4.2075 9.2301
Se -5.1525 7.4972 0.9317
Se 1.8715 6.4250 6.7757
Se -4.6673 4.4499 3.8750
Se -1.9029 8.3939 6.5277
Se 2.6872 4.6094 3.8282
Se 6.0511 5.3779 4.2093
Se 1.5035 7.7648 2.2457
Se 2.9720 2.9813 10.9186
Se -1.2825 3.8021 7.5185
Se -1.7439 -4.0452 8.4433
Se -2.9353 6.8063 9.4373
Se 2.7731 2.9915 6.9943
Se -3.5765 0.3221 9.7722
Mg -6.1112 2.3686 4.9194
Mg 6.7223 6.2662 1.9210
Mg 0.7936 -0.2233 4.5063
Mg -5.3176 2.1453 9.4257
Mg 2.3055 1.4718 8.9813
Mg 4.6428 -1.6310 6.5530
Mg -1.1926 4.9823 9.7713
Mg -8.4486 5.4714 7.3476
Mg 0.7023 4.2057 5.6733
Mg 0.0000 0.0000 0.0000
Mg -3.9405 5.8367 -0.8797
Mg -5.8354 6.6133 3.2183
Mg 0.6111 8.6348 6.8404
Mg 2.5973 3.4292 1.5754
Mg 6.8136 1.8371 0.7540
Mg 2.8731 7.6738 -0.1257
Mg -2.1707 -3.4681 5.7990
Mg 9.8533 2.9401 3.9991
Mg 7.2401 1.7982 8.1284
Mg -0.9008 6.9397 2.3654
Pr 5.4703 11.1030 1.4497
Pr 5.4365 -1.8543 11.0593
Pr 3.6667 7.4505 4.3807
Pr -2.3373 3.1028 2.4283
Pr 4.9187 2.6137 4.8519
Pr -3.5140 5.7978 6.4948
Pr -2.2620 0.9610 6.9660
Pr 0.8690 -2.3651 9.0441
Pr 0.5357 10.7766 2.3026
Pr -4.0318 10.2658 0.2874
Pr -4.0656 -2.6915 9.8970
Pr 3.7420 5.3087 8.9184
```

Properties
Its total moment is 0.000 μB/atom. The density of states at the Fermi level is 83.15 states/eV/cell. The energy relative to the elements, uncorrected is -2105 kJ/mol of formula units.

=====

No. 5
## Pr2MgSe (GGA-PBE)

Data for a relaxed Pr2MgSe crystal.

extended XYZ file:
```
4
Lattice="-3.9273 -0.1404 1.1447 -2.2344 -3.3446 -0.7583 0.2981 -4.4706 7.7923" Properties=species:S:1:pos:R:3 pbc="T T T"
Se -3.8151 -6.7863 8.0322
Pr -0.1834 -3.7931 6.2232
Pr -1.5698 -1.8428 1.7063
Mg -2.9289 -3.9818 4.0986
```

Properties
Its total moment is 0.000 μB/atom. The value obtained for the polymorph energy (0 for the lowest one) is 0.0 meV per atom. The density of states at the Fermi level is 4.01 states/eV/cell. The energy relative to the elements, uncorrected is -309 kJ/mol of formula units.

=====

No. 6
## Pr5MgSe8 (GGA-PBE)

Data for a relaxed Pr5MgSe8 crystal.

extended XYZ file:
```
14
Lattice="-7.0117 1.2790 3.1074 -0.7402 -2.7164 -7.2478 3.7072 -5.1964 4.4396" Properties=species:S:1:pos:R:3 pbc="T T T"
Pr 0.1337 -1.7343 -2.1174
Pr 0.9809 -4.9933 4.6271
Pr -5.7903 -2.5469 -2.5816
Pr -3.4139 -3.9931 0.6705
Pr -1.6523 -1.9587 3.7735
Se 0.5449 -4.5987 -2.8456
Se -1.5110 -1.9119 -4.8838
Se -1.6797 -6.0411 -0.6414
Se -2.9345 -2.2650 -1.7635
Se -4.1718 -1.5398 2.1907
Se -0.5980 -2.4272 0.7622
Se -1.5280 -4.8641 3.0170
Se -4.3008 -2.8875 5.3616
Mg 0.6574 -4.9357 0.4827
```

Properties
Its total moment is 0.000 μB/atom. The density of states at the Fermi level is 5.13 states/eV/cell. The energy relative to the elements, uncorrected is -2367 kJ/mol of formula units.

=====

No. 7
## Pr2MgSe4 (GGA-PBE)

Data for a relaxed Pr2MgSe4 crystal.

extended XYZ file:
```
14
Lattice="-6.6612 -3.1585 4.2844 -3.0098 -7.7468 -1.9058 1.1118 -6.4646 5.4476" Properties=species:S:1:pos:R:3 pbc="T T T"
Pr -2.5748 -6.0446 0.0254
Pr -0.5140 -5.4035 3.7021
Pr -4.4005 -3.7505 3.1204
Pr -1.0699 -2.1712 0.9783
Mg -6.4194 -13.0274 5.8696
Mg -4.2796 -8.6849 3.9131
Se -3.1919 -6.4775 2.9185
Se -8.0723 -11.9487 4.0950
Se -4.7219 -10.4154 1.9497
Se -5.9772 -11.2969 7.8330
Se -7.5072 -15.2348 6.8642
Se -2.6267 -9.7637 5.6877
Se -6.5780 -8.0831 5.0964
Se -4.1211 -13.6293 4.6863
```

Properties
Its total moment is 0.000 μB/atom. The value obtained for the polymorph energy (0 for the lowest one) is 17.7 meV per atom. The energy relative to the elements, uncorrected is -1113 kJ/mol of formula units.

=====

No. 8
## PrMgSe (GGA-PBE)

Data for a relaxed PrMgSe crystal.

extended XYZ file:
```
6
Lattice="-1.4996 -4.4703 1.8584 3.4394 -3.3659 1.5897 0.3414 0.5345 8.4721" Properties=species:S:1:pos:R:3 pbc="T T T"
Pr 1.2204 -4.4735 4.0455
Pr 1.0609 -2.8281 7.8747
Mg 1.7834 -6.2230 7.2023
Mg 0.4979 -1.0787 4.7179
Se 0.6012 -2.1441 2.2384
Se 1.6801 -5.1576 9.6818
```

Properties
Its total moment is 0.000 μB/atom. The density of states at the Fermi level is 2.21 states/eV/cell. The energy relative to the elements, uncorrected is -291 kJ/mol of formula units.